Entry 1:
Computed, not measured: a relaxed BaZnCd2Tc crystal at the PBE level of DFT.

Calculated values
The uncorrected energy comes out at -7.1 eV per cell.

abc: 6.278 6.278 5.952
angles: 90.00 90.00 90.00
Space group P4/mmm (No. 123)
Unique sites:
Ba: 0.000 0.000 0.000 (multiplicity 1)
Zn: 0.000 0.000 0.500 (multiplicity 1)
Cd: 0.000 0.500 0.000 (multiplicity 2)
Tc: 0.500 0.500 0.500 (multiplicity 1)

---

Entry 2:
Computed, not measured: a relaxed Pr2Si4Ir5 crystal at the PBE level of DFT.

Calculated values
For the uncorrected formation energy, the calculation gives -85 kJ per mole of atoms. The uncorrected energy comes out at -341.2 eV per cell.

abc: 5.667 9.813 14.115
angles: 90.00 90.00 90.00
Space group Fmmm (No. 69)
Unique sites:
Pr: 0.000 0.000 0.129 (multiplicity 8)
Si: 0.000 0.157 0.369 (multiplicity 16)
Ir: 0.000 0.000 0.500 (multiplicity 4)
Ir: 0.250 0.250 0.000 (multiplicity 8)
Ir: 0.250 0.250 0.250 (multiplicity 8)

---

Entry 3:
Computed, not measured: a relaxed La4PdPtBr2 crystal at the PBE level of DFT.

Calculated values
For the uncorrected formation energy, the calculation gives -117 kJ per mole of atoms. The uncorrected energy comes out at -44.0 eV per cell.

abc: 7.383 4.318 8.231
angles: 90.00 107.31 90.00
Space group P2/m (No. 10)
Unique sites:
La: 0.233 0.000 0.201 (multiplicity 2)
La: 0.260 0.500 0.798 (multiplicity 2)
Pd: 0.500 0.000 0.000 (multiplicity 1)
Pt: 0.000 0.500 0.000 (multiplicity 1)
Br: 0.000 0.000 0.500 (multiplicity 1)
Br: 0.500 0.500 0.500 (multiplicity 1)